# Pr3Cd4

A relaxed Pr3Cd4 crystal (GGA-PBE, Alexandria via LeMat-Bulk).

Values from the calculation:
formation energy from the elements: -124.8 meV per atom
spin magnetization: 0.0 μB per formula unit
crystal system: trigonal

Structure (extended XYZ):
```
7
Lattice="5.163 0.000 1.539 2.352 4.596 1.539 0.035 0.021 9.313" Properties=species:S:1:pos:R:3 pbc="T T T"
Pr 5.677 3.472 9.245
Pr 0.000 0.000 0.000
Pr 1.873 1.146 3.146
Cd 6.588 4.029 6.190
Cd 4.659 2.850 3.229
Cd 2.891 1.768 9.162
Cd 0.963 0.589 6.201
```